# ZnCo2SbO6 (GGA+U, optimized geometry)
data_ZnCo2SbO6
_chemical_formula_sum 'Zn3 Co6 Sb3 O18'
_symmetry_space_group_name_H-M 'R 3'
_symmetry_Int_Tables_number 146
_symmetry_space_group_name_Hall 'R 3'
_cell_length_a 5.1290
_cell_length_b 5.1290
_cell_length_c 14.1051
_cell_angle_alpha 90.00
_cell_angle_beta 90.00
_cell_angle_gamma 120.00
loop_
_atom_site_label
_atom_site_fract_x
_atom_site_fract_y
_atom_site_fract_z
_atom_site_occupancy
Zn1 0.0000 0.0000 0.0000 1
Co1 0.0000 0.0000 0.2705 1
Co2 0.0000 0.0000 0.7910 1
Sb1 0.0000 0.0000 0.4772 1
O1 0.0108 0.6374 0.0529 1
O2 0.0400 0.3640 0.5433 1
# Total energy   -5.760 eV/atom
# Total magnetization   8.7 μB/cell